A geometry-optimized ZnCoBPt structure. Source: OQMD, functional PBE.

Results
* energy above the lowest structure with this stoichiometry: 0 meV/atom
* total moment: 0.4 μB per formula unit
* E: -5.09 eV/atom

CIF file:
```
data_ZnCoBPt
_cell_length_a 5.673
_cell_length_b 5.673
_cell_length_c 5.673
_cell_angle_alpha 90.00
_cell_angle_beta 90.00
_cell_angle_gamma 90.00
_space_group_name_H-M_alt 'F -4 3 m'
_space_group_IT_number 216
_space_group_name_Hall 'F -4 2 3'
loop_
_atom_site_label
_atom_site_type_symbol
_atom_site_fract_x
_atom_site_fract_y
_atom_site_fract_z
_atom_site_occupancy
Zn1 Zn 0.000 0.000 0.000 1
Co1 Co 0.250 0.250 0.750 1
B1 B 0.000 0.000 0.500 1
Pt1 Pt 0.250 0.250 0.250 1
```